DFT (GGA-PBE) results for a relaxed YAl3Ag2 crystal.

Cell and atoms, written as POSCAR:
```
YAl3Ag2
1.0
5.784 -3.624 0.000
5.784 3.624 0.000
0.000 0.000 5.806
Y Al Ag
2 6 4
direct
0.151 0.849 0.750
0.849 0.151 0.250
0.029 0.389 0.750
0.279 0.721 0.250
0.389 0.029 0.250
0.611 0.971 0.750
0.721 0.279 0.750
0.971 0.611 0.250
0.361 0.361 0.000
0.361 0.361 0.500
0.639 0.639 0.000
0.639 0.639 0.500
```

## Properties
* E_tot: -4.04 eV/atom
* formation enthalpy at 0 K: -0.14 eV per atom
* symmetry: Cmcm